P) VASP calculation (SCAN) on Co2NiMo at its PBEsol-relaxed geometry.

Cell lengths 5.677, 5.677, 5.677 Å; angles 90.00, 90.00, 90.00 degrees
Space group F-43m (No. 216)
Asymmetric unit:
Co  0.000  0.000  0.000 [4 per cell]
Co  0.250  0.250  0.250 [4 per cell]
Ni  0.250  0.250  0.750 [4 per cell]
Mo  0.000  0.000  0.500 [4 per cell]

=====

Q) VASP calculation (SCAN) on Co2NiMo at its PBEsol-relaxed geometry.

Cell lengths 3.524, 3.524, 7.251 Å; angles 90.00, 90.00, 90.00 degrees
Space group I-4m2 (No. 119)
Asymmetric unit:
Co  0.000  0.000  0.000 [2 per cell]
Co  0.000  0.500  0.250 [2 per cell]
Ni  0.000  0.000  0.500 [2 per cell]
Mo  0.000  0.500  0.750 [2 per cell]

=====

Relative energies, unit meV per atom: P) 113; Q) 0

=====

P) VASP calculation (SCAN) on Cu2Au3 at its PBEsol-relaxed geometry.

Cell lengths 2.885, 2.885, 17.688 Å; angles 90.00, 90.00, 90.00 degrees
Space group I4/mmm (No. 139)
Asymmetric unit:
Cu  0.000  0.000  0.211 [4 per cell]
Au  0.000  0.000  0.000 [2 per cell]
Au  0.000  0.000  0.383 [4 per cell]

=====

Q) VASP calculation (SCAN) on Cu2Au3 at its PBEsol-relaxed geometry.

Cell lengths 4.2186, 4.2186, 5.1765 Å; angles 90.00, 90.00, 120.00 degrees
Space group P-3m1 (No. 164)
Asymmetric unit:
Cu  0.3333  0.6667  0.3431 [2 per cell]
Au  0.0000  0.0000  0.5000 [1 per cell]
Au  0.3333  0.6667  0.8485 [2 per cell]

=====

Relative energies, unit meV per atom: P) 0; Q) 31

=====

P) VASP calculation (SCAN) on Pb2WCl at its PBEsol-relaxed geometry.

Cell lengths 7.059, 7.059, 7.059 Å; angles 90.00, 90.00, 90.00 degrees
Space group F-43m (No. 216)
Asymmetric unit:
Pb  0.000  0.000  0.000 [4 per cell]
Pb  0.250  0.250  0.250 [4 per cell]
W  0.250  0.250  0.750 [4 per cell]
Cl  0.000  0.000  0.500 [4 per cell]

=====

Q) VASP calculation (SCAN) on Pb2WCl at its PBEsol-relaxed geometry.

Cell lengths 4.020, 4.020, 12.257 Å; angles 90.00, 90.00, 90.00 degrees
Space group I-4m2 (No. 119)
Asymmetric unit:
Pb  0.000  0.000  0.000 [2 per cell]
Pb  0.000  0.500  0.250 [2 per cell]
W  0.000  0.000  0.500 [2 per cell]
Cl  0.000  0.500  0.750 [2 per cell]

=====

Relative energies, unit meV per atom: P) 152; Q) 0

=====

P) VASP calculation (SCAN) on ScAl2Tc at its PBEsol-relaxed geometry.

Cell lengths 2.9771, 2.9771, 26.4197 Å; angles 90.00, 90.00, 120.00 degrees
Space group R3m (No. 160, hexagonal axes)
Asymmetric unit:
Sc  0.0000  0.0000  0.0000 [3 per cell]
Al  0.0000  0.0000  0.5139 [3 per cell]
Al  0.0000  0.0000  0.7611 [3 per cell]
Tc  0.0000  0.0000  0.2540 [3 per cell]

=====

Q) VASP calculation (SCAN) on ScAl2Tc at its PBEsol-relaxed geometry.

Cell lengths 2.767, 4.042, 5.691 Å; angles 90.00, 90.00, 90.00 degrees
Space group Pmmm (No. 47)
Asymmetric unit:
Sc  0.000  0.000  0.000 [1 per cell]
Al  0.500  0.500  0.276 [2 per cell]
Tc  0.000  0.000  0.500 [1 per cell]

=====

Relative energies, unit meV per atom: P) 313; Q) 0

=====

P) VASP calculation (SCAN) on TaRuPb2 at its PBEsol-relaxed geometry.

Cell lengths 6.762, 6.762, 6.762 Å; angles 90.00, 90.00, 90.00 degrees
Space group Fm-3m (No. 225)
Asymmetric unit:
Ta  0.000  0.000  0.000 [4 per cell]
Ru  0.000  0.000  0.500 [4 per cell]
Pb  0.250  0.250  0.250 [8 per cell]

=====

Q) VASP calculation (SCAN) on TaRuPb2 at its PBEsol-relaxed geometry.

Cell lengths 9.241, 3.154, 5.513 Å; angles 90.00, 103.37, 90.00 degrees
Space group C2/m (No. 12)
Asymmetric unit:
Ta  0.000  0.000  0.000 [2 per cell]
Ru  0.000  0.500  0.500 [2 per cell]
Pb  0.242  0.000  0.740 [4 per cell]

=====

Relative energies, unit meV per atom: P) 89; Q) 0

=====

P) VASP calculation (SCAN) on In2Hg at its PBEsol-relaxed geometry.

Cell lengths 7.9026, 7.9026, 4.1237 Å; angles 90.00, 90.00, 120.00 degrees
Space group P-62m (No. 189)
Asymmetric unit:
In  0.0000  0.2681  0.0000 [3 per cell]
In  0.0000  0.6031  0.5000 [3 per cell]
Hg  0.0000  0.0000  0.5000 [1 per cell]
Hg  0.3333  0.6667  0.0000 [2 per cell]

=====

Q) VASP calculation (SCAN) on In2Hg at its PBEsol-relaxed geometry.

Cell lengths 13.448, 13.448, 13.448 Å; angles 90.00, 90.00, 90.00 degrees
Space group Fd-3m (No. 227, origin choice 2)
Asymmetric unit:
In  0.000  0.000  0.000 [16 per cell]
In  0.059  0.375  0.875 [48 per cell]
Hg  0.034  0.034  0.216 [32 per cell]

=====

R) VASP calculation (SCAN) on In2Hg at its PBEsol-relaxed geometry.

Cell lengths 6.834, 6.834, 6.834 Å; angles 90.00, 90.00, 90.00 degrees
Space group Fm-3m (No. 225)
Asymmetric unit:
In  0.250  0.250  0.250 [8 per cell]
Hg  0.000  0.000  0.000 [4 per cell]

=====

Relative energies, unit meV per atom: P) 30; Q) 91; R) 0

=====

P) VASP calculation (SCAN) on NiMo2Br at its PBEsol-relaxed geometry.

Cell lengths 3.674, 3.674, 8.845 Å; angles 90.00, 90.00, 90.00 degrees
Space group I4/mmm (No. 139)
Asymmetric unit:
Ni  0.000  0.000  0.000 [2 per cell]
Mo  0.000  0.500  0.250 [4 per cell]
Br  0.000  0.000  0.500 [2 per cell]

=====

Q) VASP calculation (SCAN) on NiMo2Br at its PBEsol-relaxed geometry.

Cell lengths 3.235, 4.786, 8.131 Å; angles 90.00, 90.00, 90.00 degrees
Space group Cmm2 (No. 35)
Asymmetric unit:
Ni  0.000  0.000  0.000 [2 per cell]
Mo  0.000  0.000  0.464 [2 per cell]
Mo  0.000  0.500  0.224 [2 per cell]
Br  0.000  0.500  0.744 [2 per cell]

=====

Relative energies, unit meV per atom: P) 447; Q) 0

=====

P) VASP calculation (SCAN) on LiMnPO4 at its PBEsol-relaxed geometry.

Cell lengths 5.694, 11.155, 9.297 Å; angles 90.00, 90.00, 90.00 degrees
Space group Fdd2 (No. 43)
Asymmetric unit:
Li  0.000  0.000  0.000 [8 per cell]
Mn  0.000  0.000  0.377 [8 per cell]
P  0.000  0.000  0.695 [8 per cell]
O  0.087  0.175  0.043 [16 per cell]
O  0.103  0.328  0.838 [16 per cell]

=====

Q) VASP calculation (SCAN) on LiMnPO4 at its PBEsol-relaxed geometry.

Cell lengths 7.634, 15.156, 5.968 Å; angles 90.00, 90.00, 90.00 degrees
Space group Ccc2 (No. 37)
Asymmetric unit:
Li  0.000  0.239  0.000 [8 per cell]
Mn  0.207  0.400  0.251 [8 per cell]
P  0.208  0.373  0.750 [8 per cell]
O  0.024  0.326  0.750 [8 per cell]
O  0.181  0.472  0.749 [8 per cell]
O  0.192  0.156  0.535 [8 per cell]
O  0.192  0.156  0.965 [8 per cell]

=====

Relative energies, unit meV per atom: P) 0; Q) 18

=====

P) VASP calculation (SCAN) on Ba2InPb at its PBEsol-relaxed geometry.

Cell lengths 5.918, 5.918, 4.248 Å; angles 90.00, 90.00, 90.00 degrees
Space group P4/mmm (No. 123)
Asymmetric unit:
Ba  0.000  0.500  0.000 [2 per cell]
In  0.000  0.000  0.500 [1 per cell]
Pb  0.500  0.500  0.500 [1 per cell]

=====

Q) VASP calculation (SCAN) on Ba2InPb at its PBEsol-relaxed geometry.

Cell lengths 8.327, 8.327, 8.327 Å; angles 90.00, 90.00, 90.00 degrees
Space group F-43m (No. 216)
Asymmetric unit:
Ba  0.000  0.000  0.000 [4 per cell]
Ba  0.250  0.250  0.250 [4 per cell]
In  0.000  0.000  0.500 [4 per cell]
Pb  0.250  0.250  0.750 [4 per cell]

=====

Relative energies, unit meV per atom: P) 0; Q) 304

=====

P) VASP calculation (SCAN) on TcAs2 at its PBEsol-relaxed geometry.

Cell lengths 3.161, 12.561, 4.835 Å; angles 90.00, 90.00, 90.00 degrees
Space group Cmcm (No. 63)
Asymmetric unit:
Tc  0.000  0.202  0.250 [4 per cell]
As  0.000  0.144  0.750 [4 per cell]
As  0.000  0.459  0.750 [4 per cell]

=====

Q) VASP calculation (SCAN) on TcAs2 at its PBEsol-relaxed geometry.

Cell lengths 5.588, 6.307, 2.908 Å; angles 90.00, 90.00, 90.00 degrees
Space group Pnnm (No. 58)
Asymmetric unit:
Tc  0.000  0.000  0.000 [2 per cell]
As  0.173  0.369  0.000 [4 per cell]

=====

Relative energies, unit meV per atom: P) 127; Q) 0

=====

P) VASP calculation (SCAN) on BeSeBr2 at its PBEsol-relaxed geometry.

Cell lengths 3.512, 3.984, 6.253 Å; angles 90.00, 90.00, 90.00 degrees
Space group Pmmm (No. 47)
Asymmetric unit:
Be  0.000  0.000  0.000 [1 per cell]
Se  0.500  0.000  0.500 [1 per cell]
Br  0.000  0.500  0.500 [1 per cell]
Br  0.500  0.500  0.000 [1 per cell]

=====

Q) VASP calculation (SCAN) on BeSeBr2 at its PBEsol-relaxed geometry.

Cell lengths 3.106, 5.947, 10.994 Å; angles 90.00, 90.00, 90.00 degrees
Space group Immm (No. 71)
Asymmetric unit:
Be  0.000  0.000  0.000 [2 per cell]
Se  0.000  0.000  0.500 [2 per cell]
Br  0.000  0.500  0.354 [4 per cell]

=====

Relative energies, unit meV per atom: P) 523; Q) 0

=====

P) VASP calculation (SCAN) on Be2CrAg at its PBEsol-relaxed geometry.

Cell lengths 5.759, 5.759, 5.759 Å; angles 90.00, 90.00, 90.00 degrees
Space group F-43m (No. 216)
Asymmetric unit:
Be  0.000  0.000  0.000 [4 per cell]
Be  0.250  0.250  0.250 [4 per cell]
Cr  0.250  0.250  0.750 [4 per cell]
Ag  0.000  0.000  0.500 [4 per cell]

=====

Q) VASP calculation (SCAN) on Be2CrAg at its PBEsol-relaxed geometry.

Cell lengths 2.821, 3.972, 8.236 Å; angles 90.00, 90.00, 90.00 degrees
Space group Imm2 (No. 44)
Asymmetric unit:
Be  0.000  0.000  0.000 [2 per cell]
Be  0.000  0.500  0.290 [2 per cell]
Cr  0.000  0.500  0.763 [2 per cell]
Ag  0.000  0.000  0.539 [2 per cell]

=====

Relative energies, unit meV per atom: P) 87; Q) 0